# RbCa2NpCl8

RbCa2NpCl8 after structural relaxation (PBE-GGA, Alexandria).

Output
E_form (uncorrected) (meV per atom): -2068
Uncorrected energy (eV per cell): -57.50
Space group: No. 10

a = 6.694 Å, b = 6.592 Å, c = 8.783 Å
α = 90.00°, β = 90.00°, γ = 89.45°
Each line ends with the local moment (μB).
Positions (direct):
1 Rb 0.000 0.000 0.500  0.00
2 Ca 0.500 0.500 0.745  0.00
3 Ca 0.500 0.500 0.255  0.00
4 Np 0.000 0.000 0.000  3.96
5 Cl 0.175 0.756 0.214  -0.01
6 Cl 0.677 0.726 0.000  -0.01
7 Cl 0.825 0.244 0.214  -0.01
8 Cl 0.825 0.244 0.786  -0.01
9 Cl 0.323 0.274 0.000  -0.01
10 Cl 0.175 0.756 0.786  -0.01
11 Cl 0.628 0.716 0.500  0.00
12 Cl 0.372 0.284 0.500  0.00

=====

# Rb2CaNpCl6

Rb2CaNpCl6 after structural relaxation (PBE-GGA, Alexandria).

Output
E_form (uncorrected) (meV per atom): -1856
Uncorrected energy (eV per cell): -93.03
Space group: No. 59

a = 7.749 Å, b = 7.966 Å, c = 11.046 Å
α = 90.00°, β = 90.00°, γ = 90.00°
Each line ends with the local moment (μB).
Positions (direct):
1 Rb 0.500 0.789 0.227  0.00
2 Rb 0.000 0.211 0.727  0.00
3 Rb 0.500 0.789 0.773  0.00
4 Rb 0.000 0.211 0.273  0.00
5 Ca 0.500 0.233 0.500  0.03
6 Ca 0.000 0.767 0.000  0.03
7 Np 0.000 0.727 0.500  4.57
8 Np 0.500 0.273 0.000  4.57
9 Cl 0.500 0.224 0.253  -0.01
10 Cl 0.500 0.224 0.747  -0.01
11 Cl 0.000 0.776 0.247  -0.01
12 Cl 0.000 0.776 0.753  -0.01
13 Cl 0.255 0.983 0.500  -0.01
14 Cl 0.745 0.983 0.500  -0.01
15 Cl 0.240 0.463 0.500  -0.01
16 Cl 0.760 0.463 0.500  -0.01
17 Cl 0.740 0.537 0.000  -0.01
18 Cl 0.260 0.537 0.000  -0.01
19 Cl 0.245 0.017 0.000  -0.01
20 Cl 0.755 0.017 0.000  -0.01

=====

# CaNpTl2Cl8

CaNpTl2Cl8 after structural relaxation (PBE-GGA, Alexandria).

Output
E_form (uncorrected) (meV per atom): -1612
Uncorrected energy (eV per cell): -53.79
Space group: No. 10

a = 7.205 Å, b = 6.881 Å, c = 8.502 Å
α = 89.98°, β = 90.02°, γ = 92.76°
Each line ends with the local moment (μB).
Positions (direct):
1 Ca 0.000 0.000 0.500  0.00
2 Np 0.000 0.000 0.000  3.14
3 Tl 0.500 0.500 0.741  0.00
4 Tl 0.500 0.500 0.259  0.00
5 Cl 0.125 0.785 0.234  -0.02
6 Cl 0.690 0.800 0.000  -0.04
7 Cl 0.874 0.214 0.234  -0.02
8 Cl 0.875 0.215 0.766  -0.02
9 Cl 0.310 0.200 0.000  -0.04
10 Cl 0.126 0.786 0.766  -0.02
11 Cl 0.693 0.764 0.500  0.00
12 Cl 0.307 0.236 0.500  0.00

=====

# Ca2NpTlCl8

Ca2NpTlCl8 after structural relaxation (PBE-GGA, Alexandria).

Output
E_form (uncorrected) (meV per atom): -1912
Uncorrected energy (eV per cell): -57.03
Space group: No. 10

a = 6.691 Å, b = 6.559 Å, c = 8.714 Å
α = 90.00°, β = 90.00°, γ = 89.75°
Each line ends with the local moment (μB).
Positions (direct):
1 Ca 0.500 0.500 0.745  0.00
2 Ca 0.500 0.500 0.255  0.00
3 Np 0.000 0.000 0.000  3.96
4 Tl 0.000 0.000 0.500  0.00
5 Cl 0.174 0.756 0.216  -0.01
6 Cl 0.675 0.726 0.000  -0.01
7 Cl 0.826 0.244 0.216  -0.01
8 Cl 0.826 0.244 0.784  -0.01
9 Cl 0.325 0.274 0.000  -0.01
10 Cl 0.174 0.756 0.784  -0.01
11 Cl 0.633 0.717 0.500  0.00
12 Cl 0.367 0.283 0.500  0.00

=====

# Ca2ClO

Ca2ClO after structural relaxation (PBE-GGA, Alexandria).

Output
E_form (uncorrected) (meV per atom): -2122
Uncorrected energy (eV per cell): -19.30
Space group: No. 166

a = 3.615 Å, b = 3.615 Å, c = 6.891 Å
α = 74.80°, β = 74.80°, γ = 60.00°
Positions (direct):
1 Ca 0.269 0.269 0.193
2 Ca 0.731 0.731 0.807
3 O 0.000 0.000 0.000
4 Cl 0.500 0.500 0.500

=====

# CaCl3O

CaCl3O after structural relaxation (PBE-GGA, Alexandria).

Output
E_form (uncorrected) (meV per atom): -680
Uncorrected energy (eV per cell): -15.90
Space group: No. 221

a = 4.612 Å, b = 4.612 Å, c = 4.612 Å
α = 90.00°, β = 90.00°, γ = 90.00°
Positions (direct):
1 Ca 0.500 0.500 0.500
2 O 0.000 0.000 0.000
3 Cl 0.000 0.500 0.000
4 Cl 0.000 0.000 0.500
5 Cl 0.500 0.000 0.000

=====

# Ca3Cl2O2

Ca3Cl2O2 after structural relaxation (PBE-GGA, Alexandria).

Output
E_form (uncorrected) (meV per atom): -2673
Uncorrected energy (eV per cell): -38.32
Space group: No. 12

a = 3.831 Å, b = 6.668 Å, c = 6.852 Å
α = 116.88°, β = 106.24°, γ = 90.00°
Positions (direct):
1 Ca 0.000 0.000 0.000
2 Ca 0.770 0.321 0.540
3 Ca 0.230 0.679 0.460
4 Cl 0.597 0.820 0.194
5 Cl 0.403 0.180 0.806
6 O 0.827 0.695 0.653
7 O 0.173 0.305 0.347

=====

# Ca2Cl2O

Ca2Cl2O after structural relaxation (PBE-GGA, Alexandria).

Output
E_form (uncorrected) (meV per atom): -2601
Uncorrected energy (eV per cell): -51.32
Space group: No. 72

a = 6.071 Å, b = 7.023 Å, c = 7.023 Å
α = 57.41°, β = 64.39°, γ = 64.39°
Positions (direct):
1 Ca 0.092 0.601 0.215
2 Ca 0.908 0.399 0.785
3 Ca 0.408 0.785 0.399
4 Ca 0.592 0.215 0.601
5 Cl 0.349 0.272 0.030
6 Cl 0.651 0.728 0.970
7 Cl 0.151 0.970 0.728
8 Cl 0.849 0.030 0.272
9 O 0.250 0.500 0.500
10 O 0.750 0.500 0.500

=====

# Ca2Cl2O

Ca2Cl2O after structural relaxation (PBE-GGA, Alexandria).

Output
E_form (uncorrected) (meV per atom): -2543
Uncorrected energy (eV per cell): -50.74
Space group: No. 36

a = 3.810 Å, b = 6.841 Å, c = 8.781 Å
α = 90.00°, β = 102.53°, γ = 90.00°
Positions (direct):
1 Ca 0.478 0.399 0.957
2 Ca 0.842 0.049 0.684
3 Ca 0.158 0.549 0.316
4 Ca 0.522 0.899 0.043
5 Cl 0.929 0.685 0.858
6 Cl 0.762 0.392 0.525
7 Cl 0.238 0.892 0.475
8 Cl 0.071 0.185 0.142
9 O 0.418 0.109 0.835
10 O 0.582 0.609 0.165

=====

# Ca2ClO

Ca2ClO after structural relaxation (PBE-GGA, Alexandria).

Output
E_form (uncorrected) (meV per atom): -1530
Uncorrected energy (eV per cell): -16.93
Space group: No. 225

a = 4.594 Å, b = 4.594 Å, c = 4.594 Å
α = 60.00°, β = 60.00°, γ = 60.00°
Each line ends with the local moment (μB).
Positions (direct):
1 Ca 0.250 0.250 0.250  0.12
2 Ca 0.750 0.750 0.750  0.12
3 O 0.000 0.000 0.000  -0.01
4 Cl 0.500 0.500 0.500  -0.01

=====

# CaCl3O

CaCl3O after structural relaxation (PBE-GGA, Alexandria).

Output
E_form (uncorrected) (meV per atom): -576
Uncorrected energy (eV per cell): -15.38
Space group: No. 221

a = 5.394 Å, b = 5.394 Å, c = 5.394 Å
α = 90.00°, β = 90.00°, γ = 90.00°
Each line ends with the local moment (μB).
Positions (direct):
1 Ca 0.000 0.000 0.000  -0.01
2 O 0.500 0.500 0.500  1.65
3 Cl 0.000 0.500 0.000  0.23
4 Cl 0.000 0.000 0.500  0.23
5 Cl 0.500 0.000 0.000  0.27

=====

# Ca4Cl5O

Ca4Cl5O after structural relaxation (PBE-GGA, Alexandria).

Output
E_form (uncorrected) (meV per atom): -2234
Uncorrected energy (eV per cell): -44.54
Space group: No. 12

a = 3.881 Å, b = 7.534 Å, c = 8.688 Å
α = 104.01°, β = 102.91°, γ = 90.00°
Each line ends with the local moment (μB).
Positions (direct):
1 Ca 0.653 0.092 0.305  0.04
2 Ca 0.999 0.221 0.998  0.06
3 Ca 0.347 0.908 0.695  0.04
4 Ca 0.001 0.779 0.002  0.06
5 Cl 0.163 0.344 0.326  0.00
6 Cl 0.169 0.841 0.339  0.00
7 Cl 0.831 0.159 0.661  0.00
8 Cl 0.500 0.500 0.000  0.00
9 Cl 0.837 0.656 0.674  0.00
10 O 0.500 0.000 0.000  -0.01

=====

# Ca2ClO

Ca2ClO after structural relaxation (PBE-GGA, Alexandria).

Output
E_form (uncorrected) (meV per atom): -2125
Uncorrected energy (eV per cell): -38.62
Space group: No. 122

a = 6.058 Å, b = 6.058 Å, c = 6.919 Å
α = 64.04°, β = 64.04°, γ = 90.00°
Each line ends with the local moment (μB).
Positions (direct):
1 Ca 0.542 0.125 0.250  0.07
2 Ca 0.208 0.625 0.250  0.07
3 Ca 0.375 0.458 0.750  0.08
4 Ca 0.875 0.792 0.750  0.08
5 O 0.500 0.500 0.000  0.01
6 O 0.250 0.750 0.500  0.01
7 Cl 0.000 0.000 0.000  0.02
8 Cl 0.750 0.250 0.500  0.02

=====

# Ca6ClO5

Ca6ClO5 after structural relaxation (PBE-GGA, Alexandria).

Output
E_form (uncorrected) (meV per atom): -2624
Uncorrected energy (eV per cell): -70.14
Space group: No. 12

a = 6.086 Å, b = 6.114 Å, c = 6.109 Å
α = 59.97°, β = 80.28°, γ = 70.28°
Positions (direct):
1 Ca 0.741 0.088 0.365
2 Ca 0.259 0.547 0.365
3 Ca 0.273 0.270 0.000
4 Ca 0.727 0.730 0.000
5 Ca 0.741 0.453 0.635
6 Ca 0.259 0.912 0.635
7 Cl 0.000 0.000 0.000
8 O 0.500 0.164 0.673
9 O 0.000 0.333 0.335
10 O 0.500 0.500 0.000
11 O 0.000 0.667 0.665
12 O 0.500 0.836 0.327

=====

# Ca3OsCl2O6

Ca3OsCl2O6 after structural relaxation (PBE-GGA, Alexandria).

Output
E_form (uncorrected) (meV per atom): -1868
Uncorrected energy (eV per cell): -73.09
Space group: No. 12

a = 5.612 Å, b = 6.535 Å, c = 6.632 Å
α = 119.52°, β = 83.64°, γ = 90.00°
Positions (direct):
1 Ca 0.000 0.500 0.000
2 Ca 0.500 0.500 0.500
3 Ca 0.500 0.000 0.500
4 Os 0.500 0.000 0.000
5 Cl 0.149 0.706 0.413
6 Cl 0.851 0.294 0.587
7 O 0.697 0.259 0.101
8 O 0.303 0.741 0.899
9 O 0.668 0.848 0.697
10 O 0.332 0.152 0.303
11 O 0.303 0.159 0.899
12 O 0.697 0.841 0.101

=====

# CaOsClO4

CaOsClO4 after structural relaxation (PBE-GGA, Alexandria).

Output
E_form (uncorrected) (meV per atom): -1561
Uncorrected energy (eV per cell): -91.68
Space group: No. 12

a = 6.486 Å, b = 6.486 Å, c = 8.948 Å
α = 68.74°, β = 68.74°, γ = 70.78°
Each line ends with the local moment (μB).
Positions (direct):
1 Ca 0.191 0.191 0.813  0.01
2 Ca 0.809 0.809 0.187  0.01
3 Os 0.613 0.613 0.701  0.54
4 Os 0.387 0.387 0.299  0.54
5 Cl 0.079 0.079 0.146  0.00
6 Cl 0.921 0.921 0.854  0.00
7 O 0.315 0.315 0.518  0.08
8 O 0.685 0.685 0.482  0.08
9 O 0.138 0.521 0.234  0.09
10 O 0.573 0.573 0.217  0.09
11 O 0.479 0.862 0.766  0.09
12 O 0.521 0.138 0.234  0.09
13 O 0.427 0.427 0.783  0.09
14 O 0.862 0.479 0.766  0.09

=====

# CaP2ClO

CaP2ClO after structural relaxation (PBE-GGA, Alexandria).

Output
E_form (uncorrected) (meV per atom): 398
Uncorrected energy (eV per cell): -17.64
Space group: No. 123

a = 4.662 Å, b = 4.662 Å, c = 4.351 Å
α = 90.00°, β = 90.00°, γ = 90.00°
Each line ends with the local moment (μB).
Positions (direct):
1 P 0.000 0.500 0.000  0.30
2 P 0.500 0.000 0.000  0.30
3 Ca 0.500 0.500 0.500  0.03
4 O 0.000 0.000 0.500  0.41
5 Cl 0.000 0.000 0.000  0.07

=====

# CaP2ClO

CaP2ClO after structural relaxation (PBE-GGA, Alexandria).

Output
E_form (uncorrected) (meV per atom): 639
Uncorrected energy (eV per cell): -16.43
Space group: No. 123

a = 5.502 Å, b = 5.502 Å, c = 4.241 Å
α = 90.00°, β = 90.00°, γ = 90.00°
Each line ends with the local moment (μB).
Positions (direct):
1 P 0.000 0.500 0.000  0.28
2 P 0.500 0.000 0.000  0.28
3 Ca 0.000 0.000 0.000  0.00
4 O 0.000 0.000 0.500  -0.39
5 Cl 0.500 0.500 0.500  0.07

=====

# CaP2ClO

CaP2ClO after structural relaxation (PBE-GGA, Alexandria).

Output
E_form (uncorrected) (meV per atom): -574
Uncorrected energy (eV per cell): -22.49
Space group: No. 123

a = 3.928 Å, b = 6.042 Å, c = 3.928 Å
α = 90.00°, β = 90.00°, γ = 90.00°
Positions (direct):
1 P 0.000 0.000 0.500
2 P 0.500 0.000 0.000
3 Ca 0.500 0.500 0.500
4 O 0.000 0.000 0.000
5 Cl 0.000 0.500 0.000

=====

# CaP2ClO

CaP2ClO after structural relaxation (PBE-GGA, Alexandria).

Output
E_form (uncorrected) (meV per atom): 1092
Uncorrected energy (eV per cell): -14.17
Space group: No. 123

a = 5.464 Å, b = 5.464 Å, c = 5.000 Å
α = 90.00°, β = 90.00°, γ = 90.00°
Positions (direct):
1 P 0.000 0.500 0.000
2 P 0.500 0.000 0.000
3 Ca 0.000 0.000 0.000
4 O 0.500 0.500 0.500
5 Cl 0.000 0.000 0.500